# 1
MgCd2Pd8 after structural relaxation, computed with PBE.

## Properties
Size of the total moment   0.00 μB per formula unit
Volume   380.1 Å³ per cell
Excess energy over the best structure of this formula in the dataset   0.032 eV per atom
DFT formation energy   -0.1377 eV/atom
Crystal system   orthorhombic

Cell and atoms, written as CIF:
```
data_MgCd2Pd8
_cell_length_a 8.154
_cell_length_b 10.772
_cell_length_c 4.327
_cell_angle_alpha 90.00
_cell_angle_beta 90.00
_cell_angle_gamma 90.00
_symmetry_space_group_name_H-M 'C m m m'
_symmetry_Int_Tables_number 65
_symmetry_space_group_name_Hall '-C 2 2'
loop_
_atom_site_label
_atom_site_type_symbol
_atom_site_fract_x
_atom_site_fract_y
_atom_site_fract_z
Mg1 Mg 0.000 0.000 0.000
Cd1 Cd 0.000 0.373 0.500
Pd1 Pd 0.000 0.236 0.000
Pd2 Pd 0.169 0.131 0.500
Pd3 Pd 0.172 0.500 0.000
```

---

# 2
PrSm4Ir2 after structural relaxation, computed with PBE.

## Properties
Size of the total moment   0.00 μB per formula unit
Volume   390.7 Å³ per cell
DFT formation energy   -0.4225 eV/atom
Crystal system   monoclinic

Cell and atoms, written as CIF:
```
data_PrSm4Ir2
_cell_length_a 8.006
_cell_length_b 6.620
_cell_length_c 8.013
_cell_angle_alpha 90.00
_cell_angle_beta 113.10
_cell_angle_gamma 90.00
_symmetry_space_group_name_H-M 'P 1 21/m 1'
_symmetry_Int_Tables_number 11
_symmetry_space_group_name_Hall '-P 2yb'
loop_
_atom_site_label
_atom_site_type_symbol
_atom_site_fract_x
_atom_site_fract_y
_atom_site_fract_z
Pr1 Pr 0.153 0.250 0.024
Sm1 Sm 0.013 0.250 0.378
Sm2 Sm 0.253 0.750 0.338
Sm3 Sm 0.413 0.004 0.760
Ir1 Ir 0.262 0.750 0.990
Ir2 Ir 0.371 0.250 0.407
```

---

# 3
V3Os2W after structural relaxation, computed with PBE.

## Properties
Size of the total moment   0.00 μB per formula unit
Volume   337.4 Å³ per cell
DFT formation energy   -0.2550 eV/atom
Crystal system   orthorhombic

Cell and atoms, written as CIF:
```
data_V3Os2W
_cell_length_a 4.298
_cell_length_b 12.885
_cell_length_c 6.093
_cell_angle_alpha 90.00
_cell_angle_beta 90.00
_cell_angle_gamma 90.00
_symmetry_space_group_name_H-M 'C m m m'
_symmetry_Int_Tables_number 65
_symmetry_space_group_name_Hall '-C 2 2'
loop_
_atom_site_label
_atom_site_type_symbol
_atom_site_fract_x
_atom_site_fract_y
_atom_site_fract_z
V1 V 0.000 0.000 0.249
V2 V 0.000 0.333 0.248
Os1 Os 0.000 0.166 0.500
Os2 Os 0.000 0.500 0.000
Os3 Os 0.000 0.500 0.500
W1 W 0.000 0.166 0.000
```

---

# 4
LaTiTe2N after structural relaxation, computed with PBE.

## Properties
Size of the total moment   0.00 μB per formula unit
Volume   120.4 Å³ per cell
Energy relative to the elements, uncorrected   -833 meV/atom
Excess energy over the best structure of this formula in the dataset   0.000 eV per atom
Crystal system   tetragonal

Cell and atoms, written as CIF:
```
data_LaTiTe2N
_cell_length_a 5.566
_cell_length_b 5.566
_cell_length_c 3.886
_cell_angle_alpha 90.00
_cell_angle_beta 90.00
_cell_angle_gamma 90.00
_symmetry_space_group_name_H-M 'P 4/m m m'
_symmetry_Int_Tables_number 123
_symmetry_space_group_name_Hall '-P 4 2'
loop_
_atom_site_label
_atom_site_type_symbol
_atom_site_fract_x
_atom_site_fract_y
_atom_site_fract_z
La1 La 0.000 0.000 0.000
Ti1 Ti 0.500 0.500 0.500
Te1 Te 0.000 0.500 0.500
N1 N 0.500 0.500 0.000
```